[1]
Below is crystalline BeAuS2N at its relaxed geometry, with properties calculated at the PBE level.

As for the crystal system: tetragonal. The calculation puts the energy above the most stable polymorph in this dataset at 746 meV/atom. The formation energy (no corrections) comes out at 1.485 eV per atom. The calculation puts the total magnetic moment at 0.00 μB per formula unit. The calculated density comes out at 5.04 g/cm3.

The space group is P4/mmm (No. 123) and the conventional cell measures 5.009, 5.009 and 3.733 Å, with angles of 90.00, 90.00 and 90.00 degrees. The distinct sites, in fractional coordinates, are Be at (0.000, 0.000, 0.000), Au at (0.500, 0.500, 0.500), S at (0.000, 0.500, 0.500) and N at (0.500, 0.500, 0.000).

***

[2]
Below is crystalline Tl4Hg4H3 at its relaxed geometry, with properties calculated at the PBE level.

As for the crystal system: monoclinic. The calculation puts the raw total energy at -1.677 eV/atom. The calculation puts the total magnetic moment at 0.00 μB per formula unit. The calculated density comes out at 9.95 g/cm3.

The space group is C2 (No. 5) and the conventional cell measures 3.365, 14.842 and 10.897 Å, with angles of 90.00, 95.33 and 90.00 degrees. The distinct sites, in fractional coordinates, are Tl at (0.000, 0.000, 0.000), Tl at (0.000, 0.014, 0.500), Tl at (0.045, 0.346, 0.749), Hg at (0.000, 0.731, 0.500), Hg at (0.000, 0.732, 0.000), Hg at (0.247, 0.618, 0.757), H at (0.000, 0.404, 0.000) and H at (0.033, 0.915, 0.641).

***

[3]
Below is crystalline K3Np2CrSe6 at its relaxed geometry, with properties calculated at the PBE level.

As for the crystal system: monoclinic. The formation energy (no corrections) comes out at -1.096 eV per atom. The calculation puts the total magnetic moment at 11.00 μB per formula unit. The calculated density comes out at 5.44 g/cm3.

The space group is C2/m (No. 12) and the conventional cell measures 7.172, 12.426 and 8.014 Å, with angles of 90.00, 107.38 and 90.00 degrees. The distinct sites, in fractional coordinates, are K at (0.000, 0.000, 0.000), K at (0.000, 0.332, 0.000), Np at (0.000, 0.167, 0.500), Cr at (0.000, 0.500, 0.500), Se at (0.226, 0.340, 0.699) and Se at (0.247, 0.000, 0.699).

***

[4]
Below is crystalline Li2La4Bi3O2 at its relaxed geometry, with properties calculated at the PBE level.

As for the crystal system: tetragonal. The formation energy (no corrections) comes out at -1.439 eV per atom. The calculation puts the total magnetic moment at 0.00 μB per formula unit. The calculated density comes out at 6.60 g/cm3.

The space group is I4/mmm (No. 139) and the conventional cell measures 5.009, 5.009 and 24.634 Å, with angles of 90.00, 90.00 and 90.00 degrees. The distinct sites, in fractional coordinates, are Li at (0.000, 0.000, 0.194), La at (0.000, 0.500, 0.097), Bi at (0.000, 0.000, 0.314), Bi at (0.000, 0.000, 0.500) and O at (0.000, 0.000, 0.107).